# 1
CaHgGe2 after structural relaxation, computed with PBE.

Unit cell a=4.3685 b=4.4990 c=4.4990 alpha=90.00 beta=90.00 gamma=90.00
Element x y z (fractional)
Ca1 0.5000 0.0000 0.0000
Hg1 0.5000 0.5000 0.5000
Ge1 0.0000 0.0000 0.5000
Ge2 0.0000 0.5000 0.0000

- Crystal system: tetragonal
- Final energy: -3.111 eV/atom
- Formation enthalpy at 0 K: -0.226 eV per atom
- Total magnetic moment: 0.000 μB per atom

# 2
Ca2HgGe after structural relaxation, computed with PBE.

Unit cell a=5.2434 b=5.2434 c=10.2184 alpha=75.13 beta=75.13 gamma=90.00
Element x y z (fractional)
Ca1 0.8750 0.8582 0.7500
Ca2 0.6082 0.1250 0.2500
Ca3 0.3750 0.3918 0.7500
Ge1 0.2500 0.7500 0.5000
Hg1 0.0000 0.0000 0.0000
Hg2 0.7500 0.2500 0.5000
Ge2 0.5000 0.5000 0.0000
Ca4 0.1418 0.6250 0.2500

- Crystal system: tetragonal
- Final energy: -2.276 eV/atom
- Formation enthalpy at 0 K: -0.046 eV per atom
- Total magnetic moment: 0.000 μB per atom

# 3
Ca4HgGe2 after structural relaxation, computed with PBE.

Unit cell a=5.2604 b=5.2604 c=16.4081 alpha=90.00 beta=90.00 gamma=119.96
Element x y z (fractional)
Hg1 0.4995 0.5005 0.2500
Ge1 0.8342 0.1658 0.9289
Ca1 0.8327 0.1673 0.3823
Ge2 0.8342 0.1658 0.5711
Ca2 0.1673 0.8327 0.6177
Ca3 0.8327 0.1673 0.1177
Ca4 0.5000 0.5000 0.0000
Ge3 0.1658 0.8342 0.4289
Ge4 0.1658 0.8342 0.0711
Ca5 0.1673 0.8327 0.8823
Ca6 0.8340 0.1660 0.7500
Ca7 0.1660 0.8340 0.2500
Ca8 0.5000 0.5000 0.5000
Hg2 0.5005 0.4995 0.7500

- Crystal system: orthorhombic
- Final energy: -2.968 eV/atom
- Formation enthalpy at 0 K: -0.461 eV per atom
- Total magnetic moment: 0.000 μB per atom

# 4
Ca3Hg2Ge after structural relaxation, computed with PBE.

Unit cell a=5.2869 b=5.2869 c=6.4993 alpha=90.00 beta=90.00 gamma=120.00
Element x y z (fractional)
Ca1 0.3333 0.6667 0.1522
Ge1 0.0000 0.0000 0.0000
Ca2 0.6667 0.3333 0.8478
Ca3 0.0000 0.0000 0.5000
Hg1 0.6667 0.3333 0.3491
Hg2 0.3333 0.6667 0.6509

- Crystal system: trigonal
- Final energy: -2.431 eV/atom
- Formation enthalpy at 0 K: -0.560 eV per atom
- Total magnetic moment: 0.000 μB per atom

# 5
Ca2HgGe2 after structural relaxation, computed with PBE.

Unit cell a=5.6348 b=5.6348 c=6.1267 alpha=62.62 beta=62.62 gamma=90.00
Element x y z (fractional)
Ge1 0.6287 0.6287 0.7426
Ge2 0.3713 0.3713 0.2574
Ca1 0.2500 0.7500 0.5000
Ca2 0.7500 0.2500 0.5000
Hg1 0.0000 0.0000 0.0000

- Crystal system: tetragonal
- Final energy: -2.949 eV/atom
- Formation enthalpy at 0 K: -0.241 eV per atom
- Total magnetic moment: 0.000 μB per atom

# 6
CaInHgGe after structural relaxation, computed with PBE.

Unit cell a=5.1953 b=5.1953 c=5.1953 alpha=60.00 beta=60.00 gamma=60.00
Element x y z (fractional)
Ca1 0.0000 0.0000 0.0000
Ge1 0.2500 0.2500 0.2500
In1 0.5000 0.5000 0.5000
Hg1 0.7500 0.7500 0.7500

- Crystal system: cubic
- Final energy: -2.667 eV/atom
- Formation enthalpy at 0 K: -0.252 eV per atom
- Total magnetic moment: 0.000 μB per atom

# 7
CaLa2HgGe after structural relaxation, computed with PBE.

Unit cell a=6.3489 b=5.6712 c=6.3489 alpha=90.00 beta=90.00 gamma=90.00
Element x y z (fractional)
Ge1 0.5000 0.5000 0.5000
La1 0.0000 0.0000 0.5000
Ca1 0.0000 0.0000 0.0000
La2 0.5000 0.0000 0.0000
Hg1 0.0000 0.5000 0.0000

- Crystal system: tetragonal
- Final energy: -2.511 eV/atom
- Formation enthalpy at 0 K: 0.844 eV per atom
- Total magnetic moment: 0.000 μB per atom

# 8
LiCaHgGe after structural relaxation, computed with PBE.

Unit cell a=4.9865 b=4.9865 c=4.9865 alpha=60.00 beta=60.00 gamma=60.00
Element x y z (fractional)
Ca1 0.0000 0.0000 0.0000
Ge1 0.2500 0.2500 0.2500
Li1 0.5000 0.5000 0.5000
Hg1 0.7500 0.7500 0.7500

- Crystal system: cubic
- Final energy: -2.600 eV/atom
- Formation enthalpy at 0 K: -0.392 eV per atom
- Total magnetic moment: 0.000 μB per atom